Record 1
Compound: TaRe2Mo
Source: Alexandria via LeMat-Bulk
Functional: PBE
Structure: optimized geometry

## Properties
DOS(E_F), states/eV per cell: 2.70
ρ, g/cm3: 16.91
E, eV per atom: -11.9721

POSCAR file:
```
TaRe2Mo
1.0
3.164 0.000 0.000
0.000 3.164 0.000
0.000 0.000 6.369
Re Mo Ta
2 1 1
direct
0.000 0.000 0.994
0.500 0.500 0.251
0.500 0.500 0.758
0.000 0.000 0.497
```



Record 2
Compound: NaGaMo2
Source: Alexandria via LeMat-Bulk
Functional: PBE
Structure: optimized geometry

## Properties
DOS(E_F), states/eV per cell: 6.79
ρ, g/cm3: 6.46
E, eV per atom: -5.6683

POSCAR file:
```
NaGaMo2
1.0
-2.139 2.039 -2.416
-0.608 -3.128 -2.102
-9.533 -2.630 3.205
Na Mo Ga
2 4 2
direct
0.500 0.500 0.000
0.250 0.750 0.500
0.085 0.625 0.250
0.875 0.915 0.750
0.375 0.335 0.750
0.665 0.125 0.250
0.750 0.250 0.500
0.000 0.000 0.000
```



Record 3
Compound: Ca2AlCu5Ni2
Source: Alexandria via LeMat-Bulk
Functional: PBE
Structure: optimized geometry

## Properties
DOS(E_F), states/eV per cell: 7.11
ρ, g/cm3: 5.81
E, eV per atom: -4.0701

POSCAR file:
```
Ca2AlCu5Ni2
1.0
-0.332 -3.446 -1.144
7.511 -2.325 4.823
-5.288 -1.917 7.311
Ca Cu Ni Al
4 10 4 2
direct
0.000 0.176 0.324
0.000 0.676 0.176
0.000 0.324 0.824
0.000 0.824 0.676
0.500 0.500 0.000
0.500 0.442 0.298
0.500 0.798 0.942
0.500 0.202 0.058
0.500 0.058 0.798
0.500 0.702 0.442
0.500 0.942 0.202
0.500 0.558 0.702
0.500 0.298 0.558
0.500 0.000 0.500
0.000 0.877 0.377
0.000 0.623 0.877
0.000 0.377 0.123
0.000 0.123 0.623
0.000 0.500 0.500
0.000 0.000 0.000
```



Record 4
Compound: MgMn2Co
Source: Alexandria via LeMat-Bulk
Functional: PBE
Structure: optimized geometry

## Properties
DOS(E_F), states/eV per cell: 3.33
ρ, g/cm3: 5.94
E, eV per atom: -6.4888

POSCAR file:
```
MgMn2Co
1.0
8.509 -0.064 -0.037
8.091 2.635 -0.037
8.091 1.253 2.318
Mg Mn Co
1 2 1
direct
0.753 0.753 0.753
0.991 0.991 0.991
0.248 0.248 0.248
0.507 0.507 0.507
```



Record 5
Compound: Na4Np3TaN8
Source: Alexandria via LeMat-Bulk
Functional: PBE
Structure: optimized geometry

## Properties
DOS(E_F), states/eV per cell: 15.12
ρ, g/cm3: 8.06
Energy relative to the elements, uncorrected, meV per atom: -846.8
E, eV per atom: -8.5064

POSCAR file:
```
Na4Np3TaN8
1.0
-0.059 0.130 6.766
-6.818 -1.088 -0.039
4.067 -4.312 -3.266
Na Np N Ta
4 3 8 1
direct
0.000 0.000 0.500
0.500 0.000 0.000
0.500 0.000 0.500
0.000 0.000 0.000
0.500 0.500 0.500
0.500 0.500 0.000
0.000 0.500 0.500
0.223 0.686 0.963
0.223 0.686 0.446
0.777 0.314 0.554
0.260 0.314 0.037
0.777 0.314 0.037
0.740 0.686 0.963
0.729 0.687 0.458
0.271 0.313 0.542
0.000 0.500 0.000
```



Record 6
Compound: LiPrNd6
Source: Alexandria via LeMat-Bulk
Functional: PBE
Structure: optimized geometry

## Properties
DOS(E_F), states/eV per cell: 11.42
ρ, g/cm3: 6.31
E, eV per atom: -4.2997

POSCAR file:
```
LiPrNd6
1.0
-7.738 -3.542 0.645
-3.240 -7.492 -5.447
-1.802 -6.202 0.766
Nd Li Pr
6 1 1
direct
0.433 0.768 0.738
0.567 0.232 0.262
0.061 0.433 0.274
0.939 0.567 0.726
0.768 0.940 0.860
0.232 0.060 0.140
0.000 0.000 0.000
0.500 0.500 0.500
```



Record 7
Compound: Ca2PtAu
Source: Alexandria via LeMat-Bulk
Functional: PBE
Structure: optimized geometry

## Properties
DOS(E_F), states/eV per cell: 2.29
ρ, g/cm3: 8.64
E, eV per atom: -4.1811

POSCAR file:
```
Ca2PtAu
1.0
5.045 0.000 0.000
2.523 4.369 0.000
2.523 1.456 4.119
Au Ca Pt
1 2 1
direct
0.250 0.250 0.250
0.000 0.000 0.000
0.500 0.500 0.500
0.750 0.750 0.750
```



Record 8
Compound: AcPmAg6
Source: Alexandria via LeMat-Bulk
Functional: PBE
Structure: optimized geometry

## Properties
DOS(E_F), states/eV per cell: 5.31
ρ, g/cm3: 8.92
E, eV per atom: -3.4201

POSCAR file:
```
AcPmAg6
1.0
4.904 0.000 0.000
0.000 6.623 -0.105
0.000 -3.026 5.892
Ac Ag Pm
1 6 1
direct
0.500 0.409 0.591
0.000 0.604 0.396
0.500 0.452 0.108
0.500 0.892 0.548
0.000 0.032 0.385
0.500 0.907 0.093
0.000 0.615 0.968
0.000 0.090 0.910
```



Record 9
Compound: AcErRhO6
Source: Alexandria via LeMat-Bulk
Functional: PBE
Structure: optimized geometry

## Properties
DOS(E_F), states/eV per cell: 1.66
ρ, g/cm3: 7.03
Energy relative to the elements, uncorrected, meV per atom: -2105.4
E, eV per atom: -7.1912

POSCAR file:
```
AcErRhO6
1.0
5.516 0.000 0.000
2.758 4.777 0.000
0.000 0.000 5.318
O Rh Ac Er
6 1 1 1
direct
0.345 0.620 0.288
0.620 0.035 0.288
0.620 0.345 0.712
0.345 0.035 0.712
0.035 0.620 0.712
0.035 0.345 0.288
0.333 0.333 0.500
0.000 0.000 0.000
0.667 0.667 0.500
```



Record 10
Compound: Cs2PrPtO4
Source: Alexandria via LeMat-Bulk
Functional: PBE
Structure: optimized geometry

## Properties
DOS(E_F), states/eV per cell: 14.77
ρ, g/cm3: 3.87
Energy relative to the elements, uncorrected, meV per atom: -1355.2
E, eV per atom: -5.4002

POSCAR file:
```
Cs2PrPtO4
1.0
-5.967 -2.325 -0.141
-2.772 -1.261 -7.431
1.409 -12.453 0.206
O Pt Pr Cs
8 2 2 4
direct
0.570 0.307 0.501
0.627 0.193 0.001
0.180 0.193 0.999
0.123 0.307 0.499
0.930 0.693 0.501
0.373 0.807 0.001
0.377 0.693 0.499
0.820 0.807 0.999
0.250 0.500 0.500
0.500 0.000 0.000
0.750 0.500 0.500
0.000 0.000 0.000
0.565 0.500 0.870
0.185 0.000 0.630
0.815 0.000 0.370
0.935 0.500 0.130
```



Record 11
Compound: DyTm3Pb5
Source: Alexandria via LeMat-Bulk
Functional: PBE
Structure: optimized geometry

## Properties
DOS(E_F), states/eV per cell: 16.70
ρ, g/cm3: 11.17
E, eV per atom: -4.4133

POSCAR file:
```
DyTm3Pb5
1.0
6.515 0.000 0.000
0.000 9.481 0.000
0.000 -4.740 8.211
Tm Pb Dy
6 10 2
direct
0.750 0.620 0.620
0.250 0.620 0.000
0.250 0.380 0.380
0.250 0.000 0.620
0.750 0.380 0.000
0.750 0.000 0.380
0.750 0.000 0.709
0.000 0.333 0.667
0.750 0.709 0.000
0.500 0.667 0.333
0.250 0.291 0.000
0.000 0.667 0.333
0.500 0.333 0.667
0.250 0.709 0.709
0.750 0.291 0.291
0.250 0.000 0.291
0.000 0.000 0.000
0.500 0.000 0.000
```



Record 12
Compound: Ca2PmH6Ru
Source: Alexandria via LeMat-Bulk
Functional: PBE
Structure: optimized geometry

## Properties
DOS(E_F), states/eV per cell: 3.70
ρ, g/cm3: 4.03
E, eV per atom: -4.2640

POSCAR file:
```
Ca2PmH6Ru
1.0
6.190 0.000 0.000
0.000 5.057 0.000
0.000 -2.528 4.379
H Ru Ca Pm
6 1 2 1
direct
0.832 0.159 0.318
0.168 0.841 0.682
0.832 0.682 0.841
0.168 0.318 0.159
0.832 0.159 0.841
0.168 0.841 0.159
0.000 0.000 0.000
0.842 0.667 0.333
0.158 0.333 0.667
0.500 0.000 0.000
```



no.,M_tot (μB/f.u.)
1,0.0
2,0.0
3,0.0
4,1.5
5,6.0
6,0.0
7,0.0
8,0.0
9,3.0
10,0.9
11,0.0
12,0.0